Record 1
5
Lattice="4.5712 0.0000 0.0000 0.0000 4.5712 0.0000 0.0000 0.0000 4.1987" Properties=species:S:1:pos:R:3 comment="Ti2BeCrTc | the Alexandria database | PBE | optimized geometry" energy_ha_per_atom=-0.2514 ef_mev_per_atom=1060 volume_a3_per_atom=17.55 space_group="P4/mmm, No. 123" pbc="T T T"
Ti 0.0000 2.2856 0.0000
Ti 2.2856 0.0000 0.0000
Be 0.0000 0.0000 2.0994
Cr 2.2856 2.2856 2.0994
Tc 0.0000 0.0000 0.0000

---

Record 2
12
Lattice="5.2079 0.0000 0.0000 -2.6039 4.5101 0.0000 0.0000 0.0000 6.2405" Properties=species:S:1:pos:R:3 comment="Pm2YPO8 | the Alexandria database | PBE | optimized geometry" energy_ha_per_atom=-0.2746 volume_a3_per_atom=12.21 space_group="P-3m1, No. 164" e_form_raw_kj_per_mol_atoms=-230.29 pbc="T T T"
Pm 0.0000 3.0068 2.2677
Pm 2.6039 1.5034 3.9729
Y 0.0000 0.0000 0.0000
P 0.0000 0.0000 3.1203
O 0.0000 1.3794 4.1340
O -1.4094 3.8205 4.1340
O 1.1946 0.6897 2.1066
O 0.0000 3.0068 0.1401
O 2.6039 1.5034 6.1005
O 1.4094 3.8205 4.1340
O 4.0133 0.6897 2.1066
O 2.6039 3.1308 2.1066

---

Record 3
5
Lattice="5.2781 0.0000 0.0000 0.0000 5.2781 0.0000 0.0000 0.0000 4.1473" Properties=species:S:1:pos:R:3 comment="Li2VCoH | the Alexandria database | PBE | optimized geometry" energy_ha_per_atom=-0.1212 volume_a3_per_atom=23.11 space_group="P4/mmm, No. 123" pbc="T T T"
Li 0.0000 2.6390 0.0000
Li 2.6390 0.0000 0.0000
V 0.0000 0.0000 0.0000
Co 0.0000 0.0000 2.0737
H 2.6390 2.6390 2.0737

---

Record 4
12
Lattice="2.6048 1.5039 9.1626 -2.6048 1.5039 9.1626 0.0000 -3.0077 9.1626" Properties=species:S:1:pos:R:3 comment="CePu2Tc9 | the Alexandria database | PBE | optimized geometry" energy_ha_per_atom=-0.3887 ef_mev_per_atom=80 volume_a3_per_atom=17.95 space_group="R-3m, No. 166" pbc="T T T"
Ce 0.0000 0.0000 0.0000
Pu 0.0000 0.0000 3.9893
Pu 0.0000 0.0000 23.4986
Tc -1.3205 -0.7624 11.4358
Tc 0.0000 0.0000 9.2219
Tc 0.0000 -1.5247 16.0521
Tc -1.3205 0.7624 16.0521
Tc 0.0000 0.0000 13.7439
Tc 1.3205 -0.7624 11.4358
Tc 0.0000 1.5247 11.4358
Tc 0.0000 0.0000 18.2660
Tc 1.3205 0.7624 16.0521

---

Record 5
12
Lattice="2.7022 0.0000 0.0000 0.0000 13.2281 0.0000 0.0000 0.0000 4.5712" Properties=species:S:1:pos:R:3 comment="FeNi2Pd3 | the Alexandria database | PBE | optimized geometry" energy_ha_per_atom=-0.2174 ef_mev_per_atom=18 volume_a3_per_atom=13.62 space_group="Pmmn, No. 59" pbc="T T T"
Fe 0.6756 3.3070 1.0943
Fe 2.0267 9.9211 3.4769
Ni 0.6756 7.7711 2.7237
Ni 0.6756 12.0711 2.7237
Ni 2.0267 1.1570 1.8474
Ni 2.0267 5.4570 1.8474
Pd 0.6756 1.0905 4.1425
Pd 0.6756 5.5235 4.1425
Pd 0.6756 9.9211 1.2320
Pd 2.0267 3.3070 3.3391
Pd 2.0267 7.7046 0.4287
Pd 2.0267 12.1376 0.4287

---

Record 6
14
Lattice="6.2012 0.0000 0.0000 0.0000 6.7890 0.0000 -2.6164 0.0000 10.5369" Properties=species:S:1:pos:R:3 comment="Pm4InBi2 | the Alexandria database | PBE | optimized geometry" energy_ha_per_atom=-0.1731 ef_mev_per_atom=-496 volume_a3_per_atom=31.69 space_group="P2_1/m, No. 11" pbc="T T T"
Pm -0.7110 1.6973 3.7342
Pm -1.5828 1.6973 10.0989
Pm 2.2383 3.4929 2.5539
Pm 2.2383 6.6906 2.5539
Pm 1.3465 0.0984 7.9829
Pm 1.3465 3.2961 7.9829
Pm 5.1675 5.0918 0.4380
Pm 4.2957 5.0918 6.8027
In -1.4142 1.6973 7.0914
In 4.9989 5.0918 3.4454
Bi -0.6667 5.0918 10.0174
Bi 1.1551 5.0918 5.2791
Bi 2.4296 1.6973 5.2578
Bi 4.2514 1.6973 0.5194

---

Record 7
5
Lattice="4.3876 0.0000 0.0000 0.0000 4.3876 0.0000 0.0000 0.0000 6.1488" Properties=species:S:1:pos:R:3 comment="LaCr2SeCl | the Alexandria database | PBE | optimized geometry" energy_ha_per_atom=-0.2062 volume_a3_per_atom=23.67 space_group="P4/mmm, No. 123" e_form_raw_kj_per_mol_atoms=28.09 pbc="T T T"
La 0.0000 0.0000 0.0000
Cr 0.0000 2.1938 3.0744
Cr 2.1938 0.0000 3.0744
Se 0.0000 0.0000 3.0744
Cl 2.1938 2.1938 0.0000

---

Record 8
6
Lattice="3.2698 0.0000 0.0000 0.0000 3.2698 0.0000 0.0000 0.0000 9.4276" Properties=species:S:1:pos:R:3 comment="MgZn2Au3 | the Alexandria database | PBE | optimized geometry" energy_ha_per_atom=-0.0984 ef_mev_per_atom=-348 volume_a3_per_atom=16.80 space_group="P4/mmm, No. 123" pbc="T T T"
Mg 0.0000 0.0000 0.0000
Zn 0.0000 0.0000 3.1777
Zn 0.0000 0.0000 6.2499
Au 1.6349 1.6349 1.6622
Au 1.6349 1.6349 4.7138
Au 1.6349 1.6349 7.7654